Run i
A relaxed Li6BiPd5 crystal. Source: the Alexandria database, functional GGA-PBE.

Unit cell a=4.3961 b=6.0293 c=7.5357 alpha=113.58 beta=106.96 gamma=90.00
Atoms (fractional coordinates):
Pd (0.0000, 0.5000, 0.0000)
Pd (0.6677, 0.6677, 0.3354)
Pd (0.3323, 0.3323, 0.6646)
Pd (0.6592, 0.1592, 0.3183)
Pd (0.3408, 0.8408, 0.6817)
Li (0.1771, 0.4414, 0.3544)
Li (0.5000, 0.7215, 0.0000)
Li (0.8227, 0.0870, 0.6456)
Li (0.5000, 0.2785, 0.0000)
Li (0.1773, 0.9130, 0.3544)
Li (0.8229, 0.5586, 0.6456)
Bi (0.0000, 0.0000, 0.0000)

Output
- SG: Immm, No. 71

---

Run ii
A relaxed Li6BiPd5 crystal. Source: the Alexandria database, functional GGA-PBE.

Unit cell a=7.4651 b=4.3778 c=6.9389 alpha=71.61 beta=79.30 gamma=53.93
Atoms (fractional coordinates):
Li (0.2617, 0.5625, 0.3522)
Li (0.2617, 0.9147, 0.6478)
Li (0.2746, 0.2252, 0.0000)
Li (0.7254, 0.7748, 0.0000)
Li (0.7383, 0.4375, 0.6478)
Li (0.7383, 0.0853, 0.3522)
Pd (0.5000, 0.8353, 0.3294)
Pd (0.0000, 0.6644, 0.6712)
Pd (0.5000, 0.1647, 0.6706)
Pd (0.0000, 0.3356, 0.3288)
Pd (0.5000, 0.5000, 0.0000)
Bi (0.0000, 0.0000, 0.0000)

Output
- SG: C2/m, No. 12

---

Which of them is most stable? Easy: run i.

---

Run i
A relaxed LiBi3Pd crystal. Source: the Alexandria database, functional GGA-PBE.

Unit cell a=3.4597 b=8.2921 c=10.0257 alpha=90.00 beta=90.00 gamma=112.19
Atoms (fractional coordinates):
Bi (0.6090, 0.2047, 0.4616)
Bi (0.6090, 0.2047, 0.0384)
Bi (0.3910, 0.7953, 0.5384)
Bi (0.0228, 0.3838, 0.7500)
Bi (0.3910, 0.7953, 0.9616)
Bi (0.9772, 0.6162, 0.2500)
Li (0.1417, 0.0357, 0.7500)
Li (0.8583, 0.9643, 0.2500)
Pd (0.2044, 0.3183, 0.2500)
Pd (0.7956, 0.6817, 0.7500)

Output
- SG: P2_1/m, No. 11

---

Run ii
A relaxed LiBi3Pd crystal. Source: the Alexandria database, functional GGA-PBE.

Unit cell a=5.0682 b=5.0682 c=5.0682 alpha=90.00 beta=90.00 gamma=90.00
Atoms (fractional coordinates):
Bi (0.0000, 0.5000, 0.0000)
Bi (0.5000, 0.0000, 0.0000)
Bi (0.0000, 0.0000, 0.5000)
Pd (0.5000, 0.5000, 0.5000)
Li (0.0000, 0.0000, 0.0000)

Output
- SG: Pm-3m, No. 221

---

Run iii
A relaxed LiBi3Pd crystal. Source: the Alexandria database, functional GGA-PBE.

Unit cell a=4.4829 b=7.1587 c=8.7402 alpha=113.10 beta=90.00 gamma=90.00
Atoms (fractional coordinates):
Bi (0.2500, 0.3349, 0.5538)
Bi (0.2500, 0.6776, 0.0339)
Bi (0.7500, 0.3224, 0.9661)
Bi (0.7500, 0.0536, 0.2615)
Bi (0.7500, 0.6651, 0.4462)
Bi (0.2500, 0.9464, 0.7385)
Li (0.7500, 0.6013, 0.7768)
Li (0.2500, 0.3987, 0.2232)
Pd (0.7500, 0.1154, 0.6144)
Pd (0.2500, 0.8846, 0.3856)

Output
- SG: P2_1/m, No. 11

---

Which of them is most stable? Easy: run iii.

---

Run i
A relaxed Li6BiPd2 crystal. Source: the Alexandria database, functional GGA-PBE.

Unit cell a=3.1176 b=7.7309 c=7.7309 alpha=56.07 beta=77.88 gamma=77.88
Atoms (fractional coordinates):
Bi (0.0000, 0.0000, 0.0000)
Li (0.6753, 0.0115, 0.6401)
Li (0.4999, 0.3379, 0.6621)
Li (0.3249, 0.3599, 0.9885)
Li (0.3249, 0.9885, 0.3599)
Li (0.6753, 0.6401, 0.0115)
Li (0.4999, 0.6621, 0.3379)
Pd (0.1540, 0.3512, 0.3512)
Pd (0.8458, 0.6488, 0.6488)

Output
- SG: C2/m, No. 12

---

Run ii
A relaxed Li6BiPd2 crystal. Source: the Alexandria database, functional GGA-PBE.

Unit cell a=5.2563 b=5.2519 c=5.2519 alpha=94.78 beta=94.70 gamma=94.70
Atoms (fractional coordinates):
Bi (0.0000, 0.0000, 0.0000)
Pd (0.6602, 0.6602, 0.6602)
Pd (0.3398, 0.3398, 0.3398)
Li (0.8257, 0.5001, 0.1743)
Li (0.1743, 0.4999, 0.8257)
Li (0.5000, 0.1740, 0.8260)
Li (0.1743, 0.8257, 0.4999)
Li (0.8257, 0.1743, 0.5001)
Li (0.5000, 0.8260, 0.1740)

Output
- SG: R-3m, No. 166

---

Which of them is most stable? Easy: run ii.

---

Run i
A relaxed Li2Bi2Pd7 crystal. Source: the Alexandria database, functional GGA-PBE.

Unit cell a=4.5479 b=6.7664 c=6.7664 alpha=76.40 beta=97.50 gamma=97.50
Atoms (fractional coordinates):
Pd (0.2218, 0.3833, 0.0286)
Pd (0.2218, 0.0286, 0.3833)
Pd (0.0000, 0.0000, 0.0000)
Pd (0.7782, 0.6167, 0.9714)
Pd (0.7948, 0.5769, 0.5769)
Pd (0.2052, 0.4231, 0.4231)
Pd (0.7782, 0.9714, 0.6167)
Li (0.2899, 0.7351, 0.7351)
Li (0.7101, 0.2649, 0.2649)
Bi (0.5000, 0.7791, 0.2209)
Bi (0.5000, 0.2209, 0.7791)

Output
- SG: C2/m, No. 12

---

Run ii
A relaxed Li2Bi2Pd7 crystal. Source: the Alexandria database, functional GGA-PBE.

Unit cell a=4.4698 b=7.2505 c=7.1510 alpha=120.46 beta=108.21 gamma=90.00
Atoms (fractional coordinates):
Pd (0.5000, 0.9384, 0.0000)
Pd (0.6304, 0.7463, 0.2607)
Pd (0.3696, 0.4855, 0.7393)
Pd (0.1289, 0.4559, 0.2577)
Pd (0.8620, 0.7788, 0.7241)
Pd (0.8711, 0.1982, 0.7423)
Pd (0.1380, 0.0547, 0.2759)
Li (0.0000, 0.6327, 0.0000)
Li (0.5000, 0.3251, 0.0000)
Bi (0.7152, 0.3343, 0.4303)
Bi (0.2848, 0.9039, 0.5697)

Output
- SG: Imm2, No. 44

---

Which of them is most stable? Easy: run ii.

---

Run i
A relaxed LiBi2Pd2 crystal. Source: the Alexandria database, functional GGA-PBE.

Unit cell a=8.0144 b=8.0144 c=3.4558 alpha=90.00 beta=90.00 gamma=90.00
Atoms (fractional coordinates):
Li (0.0000, 0.0000, 0.0000)
Li (0.5000, 0.5000, 0.0000)
Pd (0.6356, 0.8644, 0.5000)
Pd (0.8644, 0.3644, 0.5000)
Pd (0.3644, 0.1356, 0.5000)
Pd (0.1356, 0.6356, 0.5000)
Bi (0.1589, 0.3411, 0.0000)
Bi (0.3411, 0.8411, 0.0000)
Bi (0.8411, 0.6589, 0.0000)
Bi (0.6589, 0.1589, 0.0000)

Output
- SG: P4/mbm, No. 127

---

Run ii
A relaxed LiBi2Pd2 crystal. Source: the Alexandria database, functional GGA-PBE.

Unit cell a=4.5727 b=4.5727 c=6.8866 alpha=70.61 beta=70.61 gamma=90.00
Atoms (fractional coordinates):
Bi (0.3732, 0.3732, 0.2535)
Bi (0.6268, 0.6268, 0.7465)
Pd (0.2500, 0.7500, 0.5000)
Pd (0.7500, 0.2500, 0.5000)
Li (0.0000, 0.0000, 0.0000)

Output
- SG: I4/mmm, No. 139

---

Run iii
A relaxed LiBi2Pd2 crystal. Source: the Alexandria database, functional GGA-PBE.

Unit cell a=5.4550 b=5.4550 c=5.5081 alpha=60.32 beta=60.32 gamma=90.00
Atoms (fractional coordinates):
Bi (0.7500, 0.2500, 0.5000)
Bi (0.2500, 0.7500, 0.5000)
Pd (0.3329, 0.3329, 0.3343)
Pd (0.6671, 0.6671, 0.6657)
Li (0.0000, 0.0000, 0.0000)

Output
- SG: I4/mmm, No. 139

---

Which of them is most stable? Easy: run i.

---

Run i
A relaxed LiBi2Pd2 crystal. Source: the Alexandria database, functional GGA-PBE.

Unit cell a=4.7401 b=4.7517 c=10.8733 alpha=116.78 beta=90.00 gamma=90.00
Atoms (fractional coordinates):
Li (0.2500, 0.9258, 0.1650)
Li (0.7500, 0.0742, 0.8350)
Bi (0.2500, 0.6058, 0.8417)
Bi (0.2500, 0.2388, 0.4905)
Bi (0.7500, 0.7612, 0.5095)
Bi (0.7500, 0.3942, 0.1583)
Pd (0.2500, 0.2679, 0.9938)
Pd (0.7500, 0.7321, 0.0062)
Pd (0.7500, 0.0710, 0.3277)
Pd (0.2500, 0.9290, 0.6723)

Output
- SG: P2_1/m, No. 11

---

Run ii
A relaxed LiBi2Pd2 crystal. Source: the Alexandria database, functional GGA-PBE.

Unit cell a=4.2833 b=5.4926 c=5.4953 alpha=62.78 beta=67.06 gamma=67.05
Atoms (fractional coordinates):
Pd (0.0002, 0.2431, 0.2565)
Pd (0.9998, 0.7569, 0.7435)
Li (0.5000, 0.5000, 0.0000)
Bi (0.2973, 0.2027, 0.7027)
Bi (0.7027, 0.7973, 0.2973)

Output
- SG: Immm, No. 71

---

Run iii
A relaxed LiBi2Pd2 crystal. Source: the Alexandria database, functional GGA-PBE.

Unit cell a=7.6507 b=7.6507 c=3.7006 alpha=90.00 beta=90.00 gamma=90.00
Atoms (fractional coordinates):
Bi (0.6666, 0.8334, 0.5000)
Bi (0.1666, 0.6666, 0.5000)
Bi (0.3334, 0.1666, 0.5000)
Bi (0.8334, 0.3334, 0.5000)
Pd (0.6337, 0.1337, 0.0000)
Pd (0.8663, 0.6337, 0.0000)
Pd (0.1337, 0.3663, 0.0000)
Pd (0.3663, 0.8663, 0.0000)
Li (0.0000, 0.0000, 0.0000)
Li (0.5000, 0.5000, 0.0000)

Output
- SG: P4/mbm, No. 127

---

Which of them is most stable? Easy: run ii.

---

Run i
A relaxed LiBi3Pd2 crystal. Source: the Alexandria database, functional GGA-PBE.

Unit cell a=7.2485 b=6.8004 c=6.8004 alpha=120.00 beta=90.00 gamma=90.00
Atoms (fractional coordinates):
Bi (0.7164, 0.3454, 0.1727)
Bi (0.7164, 0.8273, 0.6546)
Bi (0.7164, 0.8273, 0.1727)
Bi (0.2836, 0.6546, 0.8273)
Bi (0.2836, 0.1727, 0.8273)
Bi (0.2836, 0.1727, 0.3454)
Pd (0.0000, 0.0000, 0.5000)
Pd (0.0000, 0.5000, 0.0000)
Pd (0.0000, 0.5000, 0.5000)
Pd (0.0000, 0.0000, 0.0000)
Li (0.7357, 0.3333, 0.6667)
Li (0.2643, 0.6667, 0.3333)

Output
- SG: P-3m1, No. 164

---

Run ii
A relaxed LiBi3Pd2 crystal. Source: the Alexandria database, functional GGA-PBE.

Unit cell a=4.3542 b=7.5111 c=8.7605 alpha=90.00 beta=90.00 gamma=90.00
Atoms (fractional coordinates):
Pd (0.0000, 0.7361, 0.3428)
Pd (0.5000, 0.7526, 0.8344)
Pd (0.5000, 0.2526, 0.1656)
Pd (0.0000, 0.2361, 0.6572)
Bi (0.0000, 0.8566, 0.6389)
Bi (0.0000, 0.3566, 0.3611)
Bi (0.5000, 0.1312, 0.8462)
Bi (0.0000, 0.0084, 0.1317)
Bi (0.5000, 0.6312, 0.1538)
Bi (0.0000, 0.5084, 0.8683)
Li (0.5000, 0.5152, 0.5916)
Li (0.5000, 0.0152, 0.4084)

Output
- SG: Pmc2_1, No. 26

---

Which of them is most stable? Easy: run ii.

---

Run i
A relaxed Li2BiPd6 crystal. Source: the Alexandria database, functional GGA-PBE.

Unit cell a=4.1173 b=4.8144 c=8.4694 alpha=71.58 beta=75.93 gamma=64.68
Atoms (fractional coordinates):
Li (0.6893, 0.3691, 0.2523)
Li (0.3107, 0.6309, 0.7477)
Pd (0.6627, 0.7237, 0.9509)
Pd (0.0068, 0.8221, 0.1643)
Pd (0.3373, 0.2763, 0.0491)
Pd (0.6604, 0.0632, 0.6161)
Pd (0.3396, 0.9368, 0.3839)
Pd (0.9932, 0.1779, 0.8357)
Bi (0.0000, 0.5000, 0.5000)

Output
- SG: C2/m, No. 12

---

Run ii
A relaxed Li2BiPd6 crystal. Source: the Alexandria database, functional GGA-PBE.

Unit cell a=6.8441 b=4.9521 c=4.9521 alpha=70.12 beta=71.12 gamma=71.12
Atoms (fractional coordinates):
Pd (0.2786, 0.8101, 0.3390)
Pd (0.5136, 0.2396, 0.2396)
Pd (0.7214, 0.6610, 0.1899)
Pd (0.2786, 0.3390, 0.8101)
Pd (0.4864, 0.7604, 0.7604)
Pd (0.7214, 0.1899, 0.6610)
Li (0.1082, 0.3439, 0.3439)
Li (0.8918, 0.6561, 0.6561)
Bi (0.0000, 0.0000, 0.0000)

Output
- SG: C2/m, No. 12

---

Which of them is most stable? Easy: run i.

---

Run i
A relaxed Li3BiPd6 crystal. Source: the Alexandria database, functional GGA-PBE.

Unit cell a=7.1302 b=6.6782 c=6.8203 alpha=90.00 beta=98.01 gamma=90.00
Atoms (fractional coordinates):
Li (0.5599, 0.8482, 0.8112)
Li (0.0599, 0.6518, 0.3112)
Li (0.5000, 0.5000, 0.0000)
Li (0.4401, 0.1518, 0.1888)
Li (0.0000, 0.0000, 0.5000)
Li (0.9401, 0.3482, 0.6888)
Pd (0.3011, 0.1197, 0.7910)
Pd (0.8436, 0.6112, 0.9591)
Pd (0.8011, 0.3803, 0.2910)
Pd (0.1820, 0.2845, 0.4234)
Pd (0.6989, 0.8803, 0.2090)
Pd (0.3436, 0.8888, 0.4591)
Pd (0.1989, 0.6197, 0.7090)
Pd (0.1564, 0.3888, 0.0409)
Pd (0.3180, 0.7845, 0.0766)
Pd (0.6820, 0.2155, 0.9234)
Pd (0.8180, 0.7155, 0.5766)
Pd (0.6564, 0.1112, 0.5409)
Bi (0.5000, 0.5000, 0.5000)
Bi (0.0000, 0.0000, 0.0000)

Output
- SG: P2_1/c, No. 14

---

Run ii
A relaxed Li3BiPd6 crystal. Source: the Alexandria database, functional GGA-PBE.

Unit cell a=4.2457 b=7.9945 c=9.2279 alpha=99.97 beta=90.00 gamma=90.00
Atoms (fractional coordinates):
Pd (0.7500, 0.1782, 0.7288)
Pd (0.7500, 0.3892, 0.3081)
Pd (0.2500, 0.0607, 0.9173)
Pd (0.7500, 0.7295, 0.4748)
Pd (0.7500, 0.9393, 0.0827)
Pd (0.2500, 0.1655, 0.2071)
Pd (0.2500, 0.4673, 0.1057)
Pd (0.2500, 0.8218, 0.2712)
Pd (0.2500, 0.2705, 0.5252)
Pd (0.7500, 0.5327, 0.8943)
Pd (0.7500, 0.8345, 0.7929)
Pd (0.2500, 0.6108, 0.6919)
Bi (0.2500, 0.9345, 0.6246)
Bi (0.7500, 0.0655, 0.3754)
Li (0.2500, 0.5465, 0.3974)
Li (0.2500, 0.7440, 0.9742)
Li (0.7500, 0.2560, 0.0258)
Li (0.7500, 0.6490, 0.1751)
Li (0.2500, 0.3510, 0.8249)
Li (0.7500, 0.4535, 0.6026)

Output
- SG: P2_1/m, No. 11

---

Which of them is most stable? Easy: run ii.